An optimized crystal structure of NaSr4Ca3, computed with PBE.

Geometry as POSCAR:
```
NaSr4Ca3
1.0
6.486 0.000 0.000
0.000 12.980 0.000
0.000 0.000 9.053
Na Sr Ca
2 8 6
direct
0.250 0.250 0.116
0.750 0.750 0.884
0.250 0.000 0.358
0.250 0.250 0.636
0.250 0.500 0.358
0.250 0.750 0.650
0.750 0.000 0.642
0.750 0.250 0.350
0.750 0.500 0.642
0.750 0.750 0.364
0.250 0.013 0.895
0.250 0.487 0.895
0.250 0.750 0.104
0.750 0.250 0.896
0.750 0.513 0.105
0.750 0.987 0.105
```

## Properties
- space-group type = No. 59
- raw total energy (eV/atom) = -1.725
- relative energy among the computed polymorphs (eV per atom) = 0.012
- ΔE_f (meV per atom) = 31.4